## MnRhAu2F (PBE+U)

Data for crystalline MnRhAu2F at its relaxed geometry.

a = 5.145 Å, b = 3.916 Å, c = 5.145 Å
α = 90.00°, β = 90.00°, γ = 90.00°
Fractional coordinates of all 5 atoms:
Au: 0.500 0.000 0.000
Mn: 0.500 0.500 0.500
Au: 0.000 0.000 0.500
F: 0.000 0.500 0.000
Rh: 0.000 0.000 0.000

Calculated values
ρ   9144 kg/m3


## MnRuAuF2 (PBE+U)

Data for crystalline MnRuAuF2 at its relaxed geometry.

a = 4.007 Å, b = 5.473 Å, c = 4.007 Å
α = 90.00°, β = 90.00°, γ = 90.00°
Fractional coordinates of all 5 atoms:
F: 0.500 0.000 0.000
Mn: 0.500 0.500 0.500
F: 0.000 0.000 0.500
Au: 0.000 0.500 0.000
Ru: 0.000 0.000 0.000

Calculated values
ρ   7388 kg/m3


## MnAuSF2 (PBE+U)

Data for crystalline MnAuSF2 at its relaxed geometry.

a = 3.789 Å, b = 6.569 Å, c = 3.789 Å
α = 90.00°, β = 90.00°, γ = 90.00°
Fractional coordinates of all 5 atoms:
Mn: 0.000 0.000 0.000
F: 0.500 0.000 0.000
Au: 0.000 0.500 0.000
F: 0.000 0.000 0.500
S: 0.500 0.500 0.500

Calculated values
ρ   5668 kg/m3


## ScMnAu2F (PBE+U)

Data for crystalline ScMnAu2F at its relaxed geometry.

a = 5.147 Å, b = 3.822 Å, c = 5.147 Å
α = 90.00°, β = 90.00°, γ = 90.00°
Fractional coordinates of all 5 atoms:
Au: 0.500 0.000 0.000
Mn: 0.500 0.500 0.500
F: 0.000 0.000 0.000
Sc: 0.000 0.500 0.000
Au: 0.000 0.000 0.500

Calculated values
ρ   8411 kg/m3


## MnAuSeF2 (PBE+U)

Data for crystalline MnAuSeF2 at its relaxed geometry.

a = 3.883 Å, b = 3.883 Å, c = 6.042 Å
α = 90.00°, β = 90.00°, γ = 90.00°
Fractional coordinates of all 5 atoms:
Mn: 0.000 0.000 0.000
Au: 0.500 0.500 0.500
Se: 0.000 0.000 0.500
F: 0.500 0.000 0.000
F: 0.000 0.500 0.000

Calculated values
ρ   6723 kg/m3


## MnSiAuF2 (PBE+U)

Data for crystalline MnSiAuF2 at its relaxed geometry.

a = 3.881 Å, b = 5.678 Å, c = 3.881 Å
α = 90.00°, β = 90.00°, γ = 90.00°
Fractional coordinates of all 5 atoms:
Au: 0.500 0.500 0.500
Si: 0.000 0.000 0.000
F: 0.500 0.000 0.000
Mn: 0.000 0.500 0.000
F: 0.000 0.000 0.500

Calculated values
ρ   6175 kg/m3


## MnTeAuF2 (PBE+U)

Data for crystalline MnTeAuF2 at its relaxed geometry.

a = 3.976 Å, b = 3.976 Å, c = 6.346 Å
α = 90.00°, β = 90.00°, γ = 90.00°
Fractional coordinates of all 5 atoms:
F: 0.000 0.500 0.000
F: 0.500 0.000 0.000
Mn: 0.000 0.000 0.000
Au: 0.500 0.500 0.500
Te: 0.000 0.000 0.500

Calculated values
ρ   6911 kg/m3


## MnTl2AuF6 (PBE+U)

Data for crystalline MnTl2AuF6 at its relaxed geometry.

a = 6.222 Å, b = 7.144 Å, c = 8.441 Å
α = 90.00°, β = 90.00°, γ = 90.00°
Fractional coordinates of all 20 atoms:
Au: 0.500 0.250 0.000
F: 0.000 0.750 0.257
Tl: 0.000 0.250 0.257
F: 0.500 0.250 0.757
Mn: 0.000 0.750 0.000
F: 0.218 0.934 0.000
F: 0.718 0.435 0.500
Tl: 0.500 0.750 0.757
F: 0.282 0.066 0.500
F: 0.218 0.565 0.000
F: 0.718 0.066 0.500
Mn: 0.500 0.250 0.500
Au: 0.000 0.750 0.500
F: 0.500 0.250 0.243
F: 0.282 0.435 0.500
Tl: 0.000 0.250 0.743
F: 0.782 0.934 0.000
F: 0.782 0.565 0.000
F: 0.000 0.750 0.743
Tl: 0.500 0.750 0.243

Calculated values
ρ   6857 kg/m3


| no. | total magnetization (μB per cell) | V (Å³ per cell) | energy (eV/atom) |
| --- | --- | --- | --- |
| 1 | 5.294 | 104 | -4.54 |
| 2 | 6.006 | 88 | -5.24 |
| 3 | 4.704 | 94 | -4.93 |
| 4 | 4.879 | 101 | -5.05 |
| 5 | 4.634 | 91 | -4.98 |
| 6 | 4.574 | 86 | -4.86 |
| 7 | 4.527 | 100 | -4.94 |
| 8 | 8.000 | 375 | -4.49 |